Compound: MnGa2TeO8
Source: the Alexandria database
Functional: PBE with a Hubbard U
Structure: optimized geometry

Electronic total energy in eV/atom: -6.0921
Spin magnetization in μB per atom: 0.25

Lattice parameters (Å, degrees): 6.3614 6.7184 6.0156 90.00 90.00 90.00
Space group Cmmm (No. 65)
One atom of each set of equivalent atoms:
Mn  0.0000  0.0000  0.0000 [2 per cell]
Ga  0.0000  0.5000  0.2406 [4 per cell]
Te  0.0000  0.0000  0.5000 [2 per cell]
O  0.0000  0.1872  0.2512 [8 per cell]
O  0.1934  0.5000  0.5000 [4 per cell]
O  0.1995  0.5000  0.0000 [4 per cell]